VASP calculation (PBE+U) on an optimized crystal structure of V6O7F5.

* ρ: 4.2 g cm⁻³
* magnetic moment: 11.00 μB per formula unit
* E above lowest polymorph: 0.15 eV per formula unit
* calculated volume: 11.391 A^3/atom

a b c (Å): 9.2096 6.4972 7.4591
angles (deg): 90.00 113.25 90.00
With the nearest neighbours (Å) after each atom.
Space group C2 (No. 5)
One atom of each set of equivalent atoms:
V (0.0000, 0.0000, 0.0000)  4 O 1.91-1.95, 2 F 2.05
V (0.0000, 0.0323, 0.5000)  3 O 1.90-2.00, 3 F 2.07
V (0.1649, 0.5014, 0.1809)  3 O 1.93-1.98, 3 F 2.07-2.13
V (0.1837, 0.5012, 0.6594)  4 O 1.95-2.03, 1 F 2.14
O (0.0000, 0.3255, 0.5000)  3 V 1.90-2.00
O (0.1530, 0.8050, 0.1575)  3 V 1.91-2.03
O (0.1580, 0.1970, 0.1588)  3 V 1.95-2.01
O (0.2269, 0.0063, 0.5383)  3 V 1.93-2.00
F (0.0000, 0.7131, 0.5000)  3 V 2.07-2.14
F (0.0732, 0.5023, 0.8707)  3 V 2.07-2.19
F (0.1025, 0.0074, 0.8015)  3 V 2.05-2.09